Record 1
Entry from Alexandria: an optimized crystal structure of Fe4CuHg (GGA-PBE).

The value obtained for the total magnetization is 40.80 μB per cell. The total DFT energy (no corrections) comes out at -144.94 eV per cell. The energy of formation from the pure elements comes out at 2.013 eV per formula unit.

It has space group F-43m (No. 216), with a = 6.904 Å, b = 6.904 Å, c = 6.904 Å, α = 90.00°, β = 90.00° and γ = 90.00°. The inequivalent atoms are Fe at (0.124, 0.124, 0.124), Cu at (0.250, 0.250, 0.750) and Hg at (0.000, 0.000, 0.500).

=====

Record 2
Entry from Alexandria: an optimized crystal structure of K2SbOs (GGA-PBE).

The value obtained for the total magnetization is 2.81 μB per cell. The total DFT energy (no corrections) comes out at -27.86 eV per cell.

It has space group I-4m2 (No. 119), with a = 5.201 Å, b = 5.201 Å, c = 7.348 Å, α = 90.00°, β = 90.00° and γ = 90.00°. The inequivalent atoms are K at (0.000, 0.000, 0.000), K at (0.000, 0.500, 0.250), Sb at (0.000, 0.500, 0.750) and Os at (0.000, 0.000, 0.500).

=====

Record 3
Entry from Alexandria: an optimized crystal structure of TlSeI (GGA-PBE).

The value obtained for the total magnetization is 0.00 μB per cell. The total DFT energy (no corrections) comes out at -32.23 eV per cell. Its energy above the lowest structure with this stoichiometry is 0.17 eV/f.u.

It has space group Pna2_1 (No. 33), with a = 11.378 Å, b = 5.433 Å, c = 7.435 Å, α = 90.00°, β = 90.00° and γ = 90.00°. The inequivalent atoms are Tl at (0.032, 0.151, 0.000), Se at (0.104, 0.382, 0.374) and I at (0.249, 0.632, 0.128).

=====

Record 4
Entry from Alexandria: an optimized crystal structure of NdThCu2 (GGA-PBE).

The value obtained for the total magnetization is 1.75 μB per cell. The total DFT energy (no corrections) comes out at -82.70 eV per cell. Its energy above the lowest structure with this stoichiometry is 0.22 eV/f.u. The energy of formation from the pure elements comes out at -0.294 eV per formula unit.

It has space group Fm-3m (No. 225), with a = 7.165 Å, b = 7.165 Å, c = 7.165 Å, α = 90.00°, β = 90.00° and γ = 90.00°. The inequivalent atoms are Nd at (0.000, 0.000, 0.000), Th at (0.000, 0.000, 0.500) and Cu at (0.250, 0.250, 0.250).

=====

Record 5
Entry from Alexandria: an optimized crystal structure of Cd2CoSe (GGA-PBE).

The value obtained for the total magnetization is 0.00 μB per cell. The total DFT energy (no corrections) comes out at -24.99 eV per cell.

It has space group Imm2 (No. 44), with a = 2.967 Å, b = 4.567 Å, c = 11.745 Å, α = 90.00°, β = 90.00° and γ = 90.00°. The inequivalent atoms are Cd at (0.000, 0.000, 0.000), Cd at (0.000, 0.500, 0.171), Co at (0.000, 0.500, 0.699) and Se at (0.000, 0.000, 0.350).

=====

Record 6
Entry from Alexandria: an optimized crystal structure of ReHPt3 (GGA-PBE).

The value obtained for the total magnetization is 0.01 μB per cell. The total DFT energy (no corrections) comes out at -32.20 eV per cell. Its energy above the lowest structure with this stoichiometry is 0.00 eV/f.u.

It has space group Pm-3m (No. 221), with a = 4.014 Å, b = 4.014 Å, c = 4.014 Å, α = 90.00°, β = 90.00° and γ = 90.00°. The inequivalent atoms are Re at (0.000, 0.000, 0.000), H at (0.500, 0.500, 0.500) and Pt at (0.000, 0.500, 0.500).

=====

> Which of these has the highest total DFT energy (no corrections)?

Cd2CoSe

=====

> total DFT energy (no corrections) of number 4 (NdThCu2)?

-82.70 eV per cell

=====

> Number 4 is which compound?

NdThCu2